# 1
# Fe2RuW (PBE, optimized geometry)
data_Fe2RuW
_chemical_formula_sum 'Fe2 Ru1 W1'
_space_group_name_H-M_alt 'P 1 2/m 1'
_space_group_IT_number 10
_cell_length_a 2.645
_cell_length_b 4.221
_cell_length_c 4.997
_cell_angle_alpha 90.00
_cell_angle_beta 101.51
_cell_angle_gamma 90.00
loop_
_space_group_symop_operation_xyz
'x,y,z'
'-x,-y,-z'
'-x,y,-z'
'x,-y,z'
loop_
_atom_site_label
_atom_site_type_symbol
_atom_site_fract_x
_atom_site_fract_y
_atom_site_fract_z
Fe1 Fe 0.248 0.000 0.250
Ru1 Ru 0.500 0.500 0.000
W1 W 0.000 0.500 0.500
# ρ = 12.047 Mg/m³
# E above lowest polymorph = 0.114 eV/atom
# calculated formation energy = 0.18 eV/atom
# E = -38.5 eV per cell

# 2
# FeRu2W (PBE, optimized geometry)
data_FeRu2W
_chemical_formula_sum 'Fe1 Ru2 W1'
_space_group_name_H-M_alt 'P 4 m m'
_space_group_IT_number 99
_cell_length_a 2.705
_cell_length_b 2.705
_cell_length_c 7.471
_cell_angle_alpha 90.00
_cell_angle_beta 90.00
_cell_angle_gamma 90.00
loop_
_space_group_symop_operation_xyz
'x,y,z'
'-y,x,z'
'-x,-y,z'
'y,-x,z'
'-x,y,z'
'y,x,z'
'x,-y,z'
'-y,-x,z'
loop_
_atom_site_label
_atom_site_type_symbol
_atom_site_fract_x
_atom_site_fract_y
_atom_site_fract_z
Fe1 Fe 0.000 0.000 0.000
Ru1 Ru 0.000 0.000 0.483
Ru2 Ru 0.500 0.500 0.229
W1 W 0.500 0.500 0.756
# ρ = 13.424 Mg/m³
# E above lowest polymorph = 0.126 eV/atom
# calculated formation energy = 0.14 eV/atom
# E = -39.4 eV per cell

# 3
# FeRu2W (PBE, optimized geometry)
data_FeRu2W
_chemical_formula_sum 'Fe3 Ru6 W3'
_space_group_name_H-M_alt 'R -3 m'
_space_group_IT_number 166
_space_group_name_Hall '-R 3 2"'
_cell_length_a 2.7345
_cell_length_b 2.7345
_cell_length_c 26.3569
_cell_angle_alpha 90.00
_cell_angle_beta 90.00
_cell_angle_gamma 120.00
loop_
_atom_site_label
_atom_site_type_symbol
_atom_site_fract_x
_atom_site_fract_y
_atom_site_fract_z
Fe1 Fe 0.0000 0.0000 0.0000
Ru1 Ru 0.0000 0.0000 0.2527
W1 W 0.0000 0.0000 0.5000
# ρ = 12.896 Mg/m³
# E above lowest polymorph = 0.148 eV/atom
# calculated formation energy = 0.16 eV/atom
# E = -117.9 eV per cell

# 4
# FeRu2W (PBE, optimized geometry)
data_FeRu2W
_chemical_formula_sum 'Fe4 Ru8 W4'
_space_group_name_H-M_alt 'F -4 3 m'
_space_group_IT_number 216
_space_group_name_Hall 'F -4 2 3'
_cell_length_a 6.106
_cell_length_b 6.106
_cell_length_c 6.106
_cell_angle_alpha 90.00
_cell_angle_beta 90.00
_cell_angle_gamma 90.00
loop_
_atom_site_label
_atom_site_type_symbol
_atom_site_fract_x
_atom_site_fract_y
_atom_site_fract_z
Fe1 Fe 0.000 0.000 0.000
Ru1 Ru 0.000 0.000 0.500
Ru2 Ru 0.250 0.250 0.250
W1 W 0.250 0.250 0.750
# ρ = 12.894 Mg/m³
# E above lowest polymorph = 0.293 eV/atom
# calculated formation energy = 0.31 eV/atom
# E = -154.9 eV per cell

# 5
# Fe2RuW (PBE, optimized geometry)
data_Fe2RuW
_chemical_formula_sum 'Fe8 Ru4 W4'
_space_group_name_H-M_alt 'I -4 2 d'
_space_group_IT_number 122
_space_group_name_Hall 'I -4 2bw'
_cell_length_a 6.704
_cell_length_b 6.704
_cell_length_c 5.064
_cell_angle_alpha 90.00
_cell_angle_beta 90.00
_cell_angle_gamma 90.00
loop_
_atom_site_label
_atom_site_type_symbol
_atom_site_fract_x
_atom_site_fract_y
_atom_site_fract_z
Fe1 Fe 0.249 0.750 0.125
Ru1 Ru 0.000 0.000 0.000
W1 W 0.000 0.000 0.500
# ρ = 11.576 Mg/m³
# E above lowest polymorph = 0.655 eV/atom
# calculated formation energy = 0.72 eV/atom
# E = -145.2 eV per cell

# 6
# Fe2RuW (PBE, optimized geometry)
data_Fe2RuW
_chemical_formula_sum 'Fe6 Ru3 W3'
_space_group_name_H-M_alt 'R 3 m'
_space_group_IT_number 160
_space_group_name_Hall 'R 3 -2"'
_cell_length_a 2.7496
_cell_length_b 2.7496
_cell_length_c 25.2894
_cell_angle_alpha 90.00
_cell_angle_beta 90.00
_cell_angle_gamma 120.00
loop_
_atom_site_label
_atom_site_type_symbol
_atom_site_fract_x
_atom_site_fract_y
_atom_site_fract_z
Fe1 Fe 0.0000 0.0000 0.0000
Fe2 Fe 0.0000 0.0000 0.2593
Ru1 Ru 0.0000 0.0000 0.5077
W1 W 0.0000 0.0000 0.7540
# ρ = 11.932 Mg/m³
# E above lowest polymorph = 0.164 eV/atom
# calculated formation energy = 0.22 eV/atom
# E = -114.8 eV per cell

# 7
# Fe2RuW (PBE, optimized geometry)
data_Fe2RuW
_chemical_formula_sum 'Fe4 Ru2 W2'
_space_group_name_H-M_alt 'I m m m'
_space_group_IT_number 71
_space_group_name_Hall '-I 2 2'
_cell_length_a 3.103
_cell_length_b 4.154
_cell_length_c 8.430
_cell_angle_alpha 90.00
_cell_angle_beta 90.00
_cell_angle_gamma 90.00
loop_
_atom_site_label
_atom_site_type_symbol
_atom_site_fract_x
_atom_site_fract_y
_atom_site_fract_z
Fe1 Fe 0.000 0.000 0.246
Ru1 Ru 0.000 0.500 0.000
W1 W 0.000 0.500 0.500
# ρ = 12.120 Mg/m³
# E above lowest polymorph = 0.062 eV/atom
# calculated formation energy = 0.12 eV/atom
# E = -77.3 eV per cell

# 8
# Fe2Ru2W (PBE, optimized geometry)
data_Fe2Ru2W
_chemical_formula_sum 'Fe4 Ru4 W2'
_space_group_name_H-M_alt 'P 4/m b m'
_space_group_IT_number 127
_space_group_name_Hall '-P 4 2ab'
_cell_length_a 6.955
_cell_length_b 6.955
_cell_length_c 2.707
_cell_angle_alpha 90.00
_cell_angle_beta 90.00
_cell_angle_gamma 90.00
loop_
_atom_site_label
_atom_site_type_symbol
_atom_site_fract_x
_atom_site_fract_y
_atom_site_fract_z
Fe1 Fe 0.120 0.380 0.000
Ru1 Ru 0.175 0.675 0.500
W1 W 0.000 0.000 0.000
# ρ = 12.621 Mg/m³
# E above lowest polymorph = 0.000 eV/atom
# calculated formation energy = 0.18 eV/atom
# E = -95.0 eV per cell

What is the ρ in the first record? 12.047 Mg/m³